Ca2SmHg (PBE-GGA, relaxed); energy of formation = -0.13 eV/atom; ΔE to the lowest computed polymorph = 60 meV per atom
1.0
4.8427 0.0000 0.0000
0.0000 4.8427 0.0000
0.0000 0.0000 5.3038
Ca Sm Hg
2 1 1
direct
0.0000 0.5000 0.0000
0.5000 0.0000 0.0000
0.0000 0.0000 0.5000
0.5000 0.5000 0.5000

Ac8Ir3RhBr4 (PBE-GGA, relaxed); uncorrected formation energy = -1.192 eV/atom
1.0
4.3580 2.5161 8.2715
-4.3580 2.5161 8.2715
0.0000 -5.0321 8.2715
Ac Ir Rh Br
8 3 1 4
direct
0.2300 0.7318 0.7318
0.2311 0.2311 0.2311
0.2682 0.2682 0.7700
0.2682 0.7700 0.2682
0.7318 0.2300 0.7318
0.7318 0.7318 0.2300
0.7689 0.7689 0.7689
0.7700 0.2682 0.2682
0.0000 0.0000 0.5000
0.0000 0.5000 0.0000
0.5000 0.0000 0.0000
0.5000 0.5000 0.5000
0.0000 0.0000 0.0000
0.0000 0.5000 0.5000
0.5000 0.0000 0.5000
0.5000 0.5000 0.0000

CeTm2Pb2 (PBE-GGA, relaxed); energy of formation = 0.00 eV/atom; ΔE to the lowest computed polymorph = 316 meV per atom
1.0
5.1072 0.0000 0.0000
-2.5536 4.4230 0.0000
0.0000 0.0000 6.7371
Ce Tm Pb
1 2 2
direct
0.0000 0.0000 0.0000
0.0000 0.0000 0.5000
0.3333 0.6667 0.0000
0.6667 0.3333 0.2558
0.6667 0.3333 0.7442

DFT total energy, record by record: -9.561, -92.559, -22.304 eV/cell